(1)
An optimized crystal structure of Hf2TlO, computed with PBE.

Cell: 3.3655 3.3655 21.6479 Å, 90.00 90.00 120.00°
Space group R-3m (No. 166, hexagonal axes)
Unique sites:
1 Hf 0.0000 0.0000 0.2213 (multiplicity 6)
2 Tl 0.0000 0.0000 0.0000 (multiplicity 3)
3 O 0.0000 0.0000 0.5000 (multiplicity 3)

Energy above the lowest structure with this stoichiometry, meV/atom: 26
Fermi-level density of states, states/eV/f.u.: 2.55
Total energy, eV for the cell shown: -94.14
Total moment, μB/cell: 0.00


(2)
An optimized crystal structure of HfTl2O4, computed with PBE.

Cell: 4.1723 4.1723 12.4606 Å, 90.00 90.00 90.00°
Space group I4/mmm (No. 139)
Unique sites:
1 Hf 0.0000 0.0000 0.0000 (multiplicity 2)
2 Tl 0.0000 0.0000 0.3491 (multiplicity 4)
3 O 0.0000 0.0000 0.1661 (multiplicity 4)
4 O 0.0000 0.5000 0.0000 (multiplicity 4)

Fermi-level density of states, states/eV/f.u.: 2.73
Total energy, eV for the cell shown: -92.12
Total moment, μB/cell: 0.00